Record 1
A plane-wave DFT calculation with PBE was carried out for Rb2ZnPd3F12 after structural relaxation.

Output
Electronic total energy: -4.095 eV/atom
SG: R-3m
Formation energy from raw total energies: -1.803 eV per atom

Cell lengths 7.494, 7.494, 7.494 Å; angles 63.57, 63.57, 63.57 degrees
Positions (direct):
Rb (0.653, 0.653, 0.653)
Rb (0.347, 0.347, 0.347)
Zn (0.000, 0.000, 0.000)
Pd (0.500, 0.000, 0.000)
Pd (0.000, 0.500, 0.000)
Pd (0.000, 0.000, 0.500)
F (0.317, 0.317, 0.946)
F (0.926, 0.926, 0.318)
F (0.318, 0.926, 0.926)
F (0.946, 0.317, 0.317)
F (0.926, 0.318, 0.926)
F (0.317, 0.946, 0.317)
F (0.683, 0.683, 0.054)
F (0.074, 0.074, 0.682)
F (0.682, 0.074, 0.074)
F (0.054, 0.683, 0.683)
F (0.074, 0.682, 0.074)
F (0.683, 0.054, 0.683)



Record 2
A plane-wave DFT calculation with PBE was carried out for TeAuSe after structural relaxation.

Output
Electronic total energy: -3.109 eV/atom
SG: Imm2
Formation energy from raw total energies: 0.192 eV per atom

Cell lengths 6.358, 6.358, 6.358 Å; angles 143.57, 143.32, 52.66 degrees
Positions (direct):
Au (0.093, 0.093, 0.000)
Se (0.344, 0.344, 0.000)
Te (0.563, 0.563, 0.000)



Record 3
A plane-wave DFT calculation with PBE was carried out for Pm12Er5Pu after structural relaxation.

Output
Electronic total energy: -5.125 eV/atom
SG: C2/m
Calculated formation energy: 0.106 eV/atom

Cell lengths 11.196, 10.561, 5.933 Å; angles 89.99, 89.98, 57.99 degrees
Site moments in Bohr magnetons follow the coordinates.
Positions (direct):
Pm (0.842, 0.000, 0.498)  0.12
Pm (0.158, 0.000, 0.502)  0.12
Pm (0.664, 0.000, 0.998)  0.00
Pm (0.336, 0.000, 0.002)  0.00
Pm (0.326, 0.667, 0.999)  0.04
Pm (0.006, 0.667, 0.001)  0.04
Pm (0.994, 0.333, 0.999)  0.04
Pm (0.674, 0.333, 0.001)  0.04
Pm (0.495, 0.334, 0.501)  -0.04
Pm (0.829, 0.666, 0.501)  -0.04
Pm (0.171, 0.334, 0.499)  -0.04
Pm (0.505, 0.666, 0.499)  -0.04
Er (0.500, 0.000, 0.500)  -0.15
Er (0.168, 0.665, 0.500)  0.07
Er (0.832, 0.335, 0.500)  0.07
Er (0.666, 0.669, 0.000)  -0.06
Er (0.334, 0.331, 0.000)  -0.06
Pu (0.000, 0.000, 0.000)  5.67



Record 4
A plane-wave DFT calculation with PBE was carried out for PmSmDy4Tm2 after structural relaxation.

Output
Electronic total energy: -4.169 eV/atom
SG: Imma
Calculated formation energy: 0.434 eV/atom

Cell lengths 9.482, 9.482, 11.760 Å; angles 128.32, 128.32, 88.59 degrees
Site moments in Bohr magnetons follow the coordinates.
Positions (direct):
Pm (0.500, 0.500, 0.500)  0.23
Pm (0.000, 0.000, 0.000)  0.23
Sm (0.000, 0.500, 0.000)  0.28
Sm (0.000, 0.500, 0.500)  0.28
Dy (0.256, 0.747, 0.002)  0.30
Dy (0.753, 0.244, 0.498)  0.30
Dy (0.247, 0.756, 0.502)  0.30
Dy (0.744, 0.253, 0.998)  0.30
Dy (0.747, 0.753, 0.003)  0.30
Dy (0.747, 0.753, 0.497)  0.30
Dy (0.253, 0.247, 0.503)  0.30
Dy (0.253, 0.247, 0.997)  0.30
Tm (0.500, 0.000, 0.000)  0.27
Tm (0.500, 0.000, 0.500)  0.27
Tm (0.000, 0.000, 0.500)  0.28
Tm (0.500, 0.500, 0.000)  0.28



Record 5
A plane-wave DFT calculation with PBE was carried out for Ba6Pd2Au after structural relaxation.

Output
Electronic total energy: -3.253 eV/atom
SG: C2/m
Calculated formation energy: -0.453 eV/atom

Cell lengths 4.711, 9.279, 10.347 Å; angles 101.22, 103.16, 90.00 degrees
Positions (direct):
Ba (0.334, 0.900, 0.667)
Ba (0.006, 0.248, 0.012)
Ba (0.671, 0.571, 0.341)
Ba (0.994, 0.752, 0.988)
Ba (0.666, 0.100, 0.333)
Ba (0.329, 0.429, 0.659)
Pd (0.833, 0.666, 0.666)
Pd (0.167, 0.334, 0.334)
Au (0.500, 0.000, 0.000)



Record 6
A plane-wave DFT calculation with PBE was carried out for Ba2CdBiP after structural relaxation.

Output
Electronic total energy: -3.436 eV/atom
SG: P4/mmm
Calculated formation energy: -0.626 eV/atom

Cell lengths 6.270, 6.270, 4.919 Å; angles 90.00, 90.00, 90.00 degrees
Positions (direct):
P (0.000, 0.000, 0.000)
Cd (0.000, 0.000, 0.500)
Bi (0.500, 0.500, 0.500)
Ba (0.000, 0.500, 0.000)
Ba (0.500, 0.000, 0.000)



Record 7
A plane-wave DFT calculation with PBE was carried out for La2Pr2SmEr after structural relaxation.

Output
Electronic total energy: -4.731 eV/atom
SG: Pmc2_1
Calculated formation energy: 0.052 eV/atom

Cell lengths 5.804, 7.161, 10.092 Å; angles 90.00, 90.00, 90.00 degrees
Positions (direct):
La (0.500, 0.008, 0.001)
La (0.000, 0.258, 0.174)
La (0.500, 0.508, 0.999)
La (0.000, 0.758, 0.826)
Pr (0.000, 0.257, 0.835)
Pr (0.500, 0.258, 0.332)
Pr (0.000, 0.757, 0.165)
Pr (0.500, 0.758, 0.668)
Sm (0.000, 0.007, 0.500)
Sm (0.000, 0.507, 0.500)
Er (0.500, 0.257, 0.661)
Er (0.500, 0.757, 0.339)



- Which of these has the highest electronic total energy?
  TeAuSe



- What is the formula in the second record?
  TeAuSe



- What is the electronic total energy in the fourth record?
  -4.169 eV/atom



- Among the records above, which one has the highest electronic total energy?
  TeAuSe